# 1
{
  "formula": "KRh2F11",
  "functional": "PBE",
  "state": "relaxed",
  "lattice": [[8.244, 0.000, 4.297], [3.738, 7.269, 2.886], [0.741, 0.142, 8.635]],
  "species": ["K", "K", "Rh", "Rh", "Rh", "Rh", "F", "F", "F", "F", "F", "F", "F", "F", "F", "F", "F", "F", "F", "F", "F", "F", "F", "F", "F", "F", "F", "F"],
  "frac_coords": [[0.750, 0.750, 0.750], [0.250, 0.250, 0.250], [0.642, 0.657, 0.343], [0.358, 0.343, 0.657], [0.858, 0.157, 0.843], [0.142, 0.843, 0.157], [0.629, 0.688, 0.556], [0.371, 0.312, 0.444], [0.128, 0.556, 0.688], [0.871, 0.944, 0.812], [0.872, 0.444, 0.312], [0.129, 0.056, 0.188], [0.372, 0.812, 0.944], [0.628, 0.188, 0.056], [0.500, 0.500, 0.500], [0.000, 0.000, 0.000], [0.772, 0.805, 0.195], [0.228, 0.195, 0.805], [0.728, 0.305, 0.695], [0.272, 0.695, 0.305], [0.412, 0.871, 0.373], [0.588, 0.129, 0.627], [0.344, 0.373, 0.871], [0.088, 0.127, 0.629], [0.656, 0.627, 0.129], [0.912, 0.873, 0.371], [0.156, 0.629, 0.127], [0.844, 0.371, 0.873]],
  "spacegroup": "Ibam (72)",
  "crystal_system": "orthorhombic"
}


# 2
{
  "formula": "KRhF2",
  "functional": "PBE",
  "state": "relaxed",
  "lattice": [[-4.238, -1.269, -4.755], [4.812, -2.384, -3.653], [-0.260, -4.958, -2.880]],
  "species": ["K", "K", "Rh", "Rh", "F", "F", "F", "F"],
  "frac_coords": [[0.500, 0.500, 0.000], [0.250, 0.750, 0.500], [0.000, 0.000, 0.000], [0.750, 0.250, 0.500], [0.668, 0.125, 0.250], [0.082, 0.625, 0.250], [0.375, 0.332, 0.750], [0.875, 0.918, 0.750]],
  "polymorph_energy_ev_per_atom": 0.2429,
  "spacegroup": "I-42d (122)",
  "crystal_system": "tetragonal"
}


# 3
{
  "formula": "K3RhF6",
  "functional": "PBE",
  "state": "relaxed",
  "lattice": [[-1.939, 6.390, 0.228], [-5.753, -3.375, 0.314], [2.694, -1.002, 6.031]],
  "species": ["K", "K", "K", "Rh", "F", "F", "F", "F", "F", "F"],
  "frac_coords": [[0.000, 0.000, 0.500], [0.500, 0.000, 0.000], [0.000, 0.500, 0.000], [0.000, 0.000, 0.000], [0.938, 0.222, 0.222], [0.062, 0.778, 0.778], [0.222, 0.938, 0.222], [0.778, 0.062, 0.778], [0.222, 0.222, 0.939], [0.778, 0.778, 0.061]],
  "spacegroup": "C2/m (12)",
  "crystal_system": "monoclinic"
}


# 4
{
  "formula": "K3RhF6",
  "functional": "PBE",
  "state": "relaxed",
  "lattice": [[-4.890, 0.572, -4.068], [-5.671, -1.393, 1.999], [-4.096, 4.521, 0.937]],
  "species": ["K", "K", "K", "Rh", "F", "F", "F", "F", "F", "F"],
  "frac_coords": [[0.274, 0.242, 0.242], [0.726, 0.758, 0.758], [0.000, 0.000, 0.000], [0.500, 0.500, 0.500], [0.345, 0.213, 0.668], [0.655, 0.332, 0.787], [0.655, 0.787, 0.332], [0.345, 0.668, 0.213], [0.187, 0.711, 0.711], [0.813, 0.289, 0.289]],
  "spacegroup": "C2/m (12)",
  "crystal_system": "monoclinic"
}


# 5
{
  "formula": "KRh2F",
  "functional": "PBE",
  "state": "relaxed",
  "lattice": [[4.765, 0.000, 0.000], [0.000, 4.765, 0.000], [2.382, 2.382, 8.204]],
  "species": ["K", "K", "Rh", "Rh", "Rh", "Rh", "F", "F"],
  "frac_coords": [[0.000, 0.000, 0.000], [0.750, 0.250, 0.500], [0.375, 0.125, 0.250], [0.375, 0.625, 0.250], [0.375, 0.625, 0.750], [0.875, 0.625, 0.750], [0.500, 0.500, 0.000], [0.250, 0.750, 0.500]],
  "polymorph_energy_ev_per_atom": 0.0000,
  "spacegroup": "I4_1/amd (141)",
  "crystal_system": "tetragonal"
}


# 6
{
  "formula": "KRhF5",
  "functional": "PBE",
  "state": "relaxed",
  "lattice": [[4.054, 0.000, 0.000], [2.027, 5.839, 0.082], [2.027, 1.124, 5.730]],
  "species": ["K", "Rh", "F", "F", "F", "F", "F"],
  "frac_coords": [[0.000, 0.000, 0.000], [0.500, 0.500, 0.500], [0.500, 0.237, 0.763], [0.500, 0.763, 0.237], [0.711, 0.289, 0.289], [0.289, 0.711, 0.711], [0.000, 0.500, 0.500]],
  "polymorph_energy_ev_per_atom": 0.0302,
  "spacegroup": "Immm (71)",
  "crystal_system": "orthorhombic"
}


# 7
{
  "formula": "K2RhF7",
  "functional": "PBE",
  "state": "relaxed",
  "lattice": [[-5.073, 3.712, -0.360], [-6.576, -3.576, 0.747], [-2.171, 3.071, 7.202]],
  "species": ["K", "K", "K", "K", "Rh", "Rh", "F", "F", "F", "F", "F", "F", "F", "F", "F", "F", "F", "F", "F", "F"],
  "frac_coords": [[0.597, 0.919, 0.724], [0.760, 0.419, 0.224], [0.240, 0.581, 0.776], [0.403, 0.081, 0.276], [0.954, 0.250, 0.750], [0.046, 0.750, 0.250], [0.780, 0.532, 0.819], [0.869, 0.032, 0.319], [0.224, 0.818, 0.012], [0.283, 0.257, 0.596], [0.643, 0.250, 0.750], [0.946, 0.318, 0.512], [0.136, 0.243, 0.904], [0.864, 0.757, 0.096], [0.054, 0.682, 0.488], [0.357, 0.750, 0.250], [0.717, 0.743, 0.404], [0.776, 0.182, 0.988], [0.131, 0.968, 0.681], [0.220, 0.468, 0.181]],
  "polymorph_energy_ev_per_atom": 0.0000,
  "spacegroup": "C2/c (15)",
  "crystal_system": "monoclinic"
}


# 8
{
  "formula": "K3Rh2F9",
  "functional": "PBE",
  "state": "relaxed",
  "lattice": [[7.701, 0.193, 0.899], [0.822, 7.659, 0.899], [0.209, 0.193, 7.750]],
  "species": ["K", "K", "K", "K", "K", "K", "Rh", "Rh", "Rh", "Rh", "F", "F", "F", "F", "F", "F", "F", "F", "F", "F", "F", "F", "F", "F", "F", "F", "F", "F"],
  "frac_coords": [[0.399, 0.750, 0.101], [0.250, 0.899, 0.601], [0.899, 0.601, 0.250], [0.101, 0.399, 0.750], [0.750, 0.101, 0.399], [0.601, 0.250, 0.899], [0.159, 0.159, 0.159], [0.659, 0.659, 0.659], [0.841, 0.841, 0.841], [0.341, 0.341, 0.341], [0.744, 0.913, 0.072], [0.087, 0.928, 0.256], [0.250, 0.405, 0.095], [0.587, 0.756, 0.428], [0.595, 0.905, 0.750], [0.905, 0.750, 0.595], [0.244, 0.572, 0.413], [0.572, 0.413, 0.244], [0.928, 0.256, 0.087], [0.072, 0.744, 0.913], [0.428, 0.587, 0.756], [0.405, 0.095, 0.250], [0.756, 0.428, 0.587], [0.095, 0.250, 0.405], [0.413, 0.244, 0.572], [0.750, 0.595, 0.905], [0.913, 0.072, 0.744], [0.256, 0.087, 0.928]],
  "spacegroup": "R-3c (167)",
  "crystal_system": "trigonal"
}


Listing E_tot for the structures above in their given order: -118.18, -33.97, -45.18, -45.68, -33.75, -31.25, -84.73, -128.54 eV/cell.